Record 1
5
Lattice="4.1617 0.0000 0.0000 0.0000 4.1617 0.0000 0.0000 0.0000 5.7533" Properties=species:S:1:pos:R:3 comment="GGA-PBE KGeIO2, optimized geometry" volume_a3_per_atom=19.93 space_group=P4/mmm raw_formation_energy_ev_per_atom=-0.595 m_tot_mub_per_fu=0.3 de_polymorph_mev_per_atom=0 energy_ev_per_cell=-20.2 pbc="T T T"
K 0.0000 0.0000 0.0000
Ge 2.0809 2.0809 2.8767
I 2.0809 2.0809 0.0000
O 0.0000 2.0809 2.8767
O 2.0809 0.0000 2.8767

---

Record 2
6
Lattice="5.7655 0.0000 0.0000 0.0000 1.8126 9.3327 0.0000 -1.8126 9.3327" Properties=species:S:1:pos:R:3 comment="GGA-PBE La2Sc, optimized geometry" formation_enthalpy_0k_ev_per_atom=0.0907 volume_a3_per_atom=32.51 space_group=Amm2 m_tot_mub_per_fu=0.0 de_polymorph_mev_per_atom=39 energy_ev_per_cell=-31.8 pbc="T T T"
La 0.0000 0.0000 0.0000
La 0.0000 0.0000 6.0951
La 0.0000 0.0000 12.3807
La 2.8827 0.0000 8.3198
Sc 2.8827 0.0000 2.1844
Sc 2.8827 0.0000 14.3718

---

Record 3
18
Lattice="8.3016 -4.5926 0.0000 8.3016 4.5926 0.0000 -0.5168 0.0000 8.4973" Properties=species:S:1:pos:R:3 comment="GGA-PBE Tl3Si2Te4, optimized geometry" volume_a3_per_atom=36.00 space_group=C2/c raw_formation_energy_ev_per_atom=-0.125 m_tot_mub_per_fu=0.0 energy_ev_per_cell=-63.3 pbc="T T T"
Tl 7.9140 4.4860 6.3730
Tl 5.8828 1.1163 5.3213
Tl 6.1412 -1.1163 1.0726
Tl 9.9453 1.1163 7.4247
Tl 10.2037 -1.1163 3.1760
Tl 8.1724 -4.4860 2.1243
Si 3.2989 1.4511 0.0939
Si 3.0405 -1.4511 4.3426
Si 13.0459 1.4511 4.1547
Si 12.7875 -1.4511 8.4034
Te 3.6029 0.4757 2.6392
Te 7.2532 2.0807 0.1508
Te 3.3445 -0.4757 6.8878
Te 9.0916 2.0807 4.0978
Te 6.9948 -2.0807 4.3995
Te 12.7419 0.4757 1.6095
Te 8.8332 -2.0807 8.3465
Te 12.4835 -0.4757 5.8581

---

Record 4
4
Lattice="0.0000 4.3321 4.3321 4.3321 0.0000 4.3321 4.3321 4.3321 0.0000" Properties=species:S:1:pos:R:3 comment="GGA-PBE Ba2HgI, optimized geometry" volume_a3_per_atom=40.65 space_group=Fm-3m raw_formation_energy_ev_per_atom=-0.727 m_tot_mub_per_fu=1.9 de_polymorph_mev_per_atom=177 energy_ev_per_cell=-8.6 pbc="T T T"
Ba 2.1661 2.1661 2.1661
Ba 6.4982 6.4982 6.4982
Hg 0.0000 0.0000 0.0000
I 4.3321 4.3321 4.3321